The following is a PBE calculation of crystalline MnFePb2Cl at its relaxed geometry, from Alexandria.

Cell lengths 5.065, 4.779, 5.065 Å; angles 90.00, 90.00, 90.00 degrees
Fractional coordinates of all 5 atoms:
Pb: 0.500 0.000 0.000
Pb: 0.000 0.000 0.500
Cl: 0.500 0.500 0.500
Mn: 0.000 0.500 0.000
Fe: 0.000 0.000 0.000

The calculation puts the density of states at the Fermi level at 1.9 states/eV/cell. As for the total moment: 5.047 μB per cell. As for the calculated total energy: -5.14 eV per atom. Its symmetry is P4/mmm.